Compound: Ac2ScAlAu6
Source: Alexandria via LeMat-Bulk
Functional: PBE
Structure: optimized geometry

The value obtained for the formation energy is -608 meV/atom. For the density, the calculation gives 11.33 g cm⁻³.

The space group is P-1 (No. 2) and the conventional cell measures 6.025, 7.022 and 7.218 Å, with angles of 83.13, 65.34 and 64.68 degrees. The asymmetric unit holds Ac at (0.043, 0.206, 0.212), Sc at (0.500, 0.500, 0.000), Al at (0.500, 0.000, 0.500), Au at (0.009, 0.242, 0.740), Au at (0.368, 0.385, 0.390) and Au at (0.497, 0.240, 0.750).